Record 1
# MoP2RhS PBE optimized geometry
# Magnetization   0.00 Bohr magnetons per cell
# Density   4.93 Mg/m³
# Formation energy (no corrections)   0.760 eV per atom
# Calculated volume   19.7 Å³/atom
# Relative energy among the computed polymorphs   0.00 kJ/mol of atoms
# DOS at the Fermi energy   3.7 states/eV per cell
data_MoP2RhS
_symmetry_space_group_name_H-M 'P 4/m m m'
_symmetry_Int_Tables_number 123
_symmetry_space_group_name_Hall '-P 4 2'
_cell_length_a 4.666
_cell_length_b 4.666
_cell_length_c 4.532
_cell_angle_alpha 90.00
_cell_angle_beta 90.00
_cell_angle_gamma 90.00
loop_
_atom_site_label
_atom_site_fract_x
_atom_site_fract_y
_atom_site_fract_z
Mo1 0.000 0.000 0.000
P1 0.000 0.500 0.000
Rh1 0.500 0.500 0.500
S1 0.000 0.000 0.500

Record 2
# Th4Os2Br3 PBE optimized geometry
# Magnetization   0.00 Bohr magnetons per cell
# Density   9.08 Mg/m³
# Formation energy (no corrections)   -0.989 eV per atom
# Calculated volume   31.5 Å³/atom
# DOS at the Fermi energy   11.8 states/eV per cell
data_Th4Os2Br3
_symmetry_space_group_name_H-M 'C 1 2/m 1'
_symmetry_Int_Tables_number 12
_symmetry_space_group_name_Hall '-C 2y'
_cell_length_a 7.225
_cell_length_b 4.171
_cell_length_c 18.801
_cell_angle_alpha 90.00
_cell_angle_beta 90.02
_cell_angle_gamma 90.00
loop_
_atom_site_label
_atom_site_fract_x
_atom_site_fract_y
_atom_site_fract_z
Th1 0.001 0.000 0.293
Th2 0.166 0.500 0.868
Os1 0.167 0.500 0.209
Br1 0.000 0.000 0.000
Br2 0.166 0.500 0.598

Record 3
# La2Er2Bi2C PBE optimized geometry
# Magnetization   0.01 Bohr magnetons per cell
# Density   8.73 Mg/m³
# Calculated volume   28.3 Å³/atom
# DOS at the Fermi energy   13.9 states/eV per cell
# Final energy   -82.68 eV/cell
data_La2Er2Bi2C
_symmetry_space_group_name_H-M 'I 4/m m m'
_symmetry_Int_Tables_number 139
_symmetry_space_group_name_Hall '-I 4 2'
_cell_length_a 4.855
_cell_length_b 4.855
_cell_length_c 16.821
_cell_angle_alpha 90.00
_cell_angle_beta 90.00
_cell_angle_gamma 90.00
loop_
_atom_site_label
_atom_site_fract_x
_atom_site_fract_y
_atom_site_fract_z
La1 0.000 0.000 0.160
Er1 0.000 0.500 0.000
Bi1 0.000 0.000 0.365
C1 0.000 0.000 0.000